(1)
# GGA-PBE Pm4AlTl, relaxed
data_Pm4AlTl
_chemical_formula_sum 'Pm16 Al4 Tl4'
_symmetry_space_group_name_H-M 'C m c m'
_symmetry_Int_Tables_number 63
_symmetry_space_group_name_Hall '-C 2c 2'
_cell_length_a 5.329
_cell_length_b 22.856
_cell_length_c 6.683
_cell_angle_alpha 90.00
_cell_angle_beta 90.00
_cell_angle_gamma 90.00
loop_
_atom_site_label
_atom_site_type_symbol
_atom_site_fract_x
_atom_site_fract_y
_atom_site_fract_z
_atom_site_occupancy
Pm1 Pm 0.000 0.067 0.250 1
Pm2 Pm 0.000 0.204 0.008 1
Pm3 Pm 0.000 0.366 0.250 1
Al1 Al 0.000 0.335 0.750 1
Tl1 Tl 0.000 0.068 0.750 1
# * crystal system: orthorhombic
# * total moment: 0.000 μB per cell
# * energy: -4.226 eV per atom
# * D(E_F): 1.206 states/eV/atom


(2)
# GGA-PBE TlSn2Hg3, relaxed
data_TlSn2Hg3
_chemical_formula_sum 'Tl4 Sn8 Hg12'
_symmetry_space_group_name_H-M 'C m c m'
_symmetry_Int_Tables_number 63
_symmetry_space_group_name_Hall '-C 2c 2'
_cell_length_a 6.871
_cell_length_b 16.136
_cell_length_c 6.157
_cell_angle_alpha 90.00
_cell_angle_beta 90.00
_cell_angle_gamma 90.00
loop_
_atom_site_label
_atom_site_type_symbol
_atom_site_fract_x
_atom_site_fract_y
_atom_site_fract_z
_atom_site_occupancy
Tl1 Tl 0.000 0.149 0.250 1
Sn1 Sn 0.224 0.500 0.000 1
Hg1 Hg 0.000 0.329 0.750 1
Hg2 Hg 0.240 0.328 0.250 1
# * crystal system: orthorhombic
# * total moment: 0.000 μB per cell
# * energy: -1.823 eV per atom
# * D(E_F): 0.507 states/eV/atom


Formation energy / eV per atom: -0.04 0.06